Record 1
Crystalline ScFeIrO6 at its relaxed geometry, computed with PBE+U.

abc: 5.1415 5.1415 8.8180
angles: 90.00 90.00 120.00
Closest atoms and distances in Å follow each position.
Fractional coordinates of all 18 atoms:
O1 0.6738 0.6530 0.1262  1 Ir 1.96, 1 Fe 2.06, 1 Sc 2.09
O2 0.9792 0.6530 0.3738  1 Ir 1.96, 1 Fe 2.06, 1 Sc 2.09
O3 0.6530 0.6738 0.6262  1 Ir 1.96, 1 Fe 2.06, 1 Sc 2.09
O4 0.0208 0.6738 0.8738  1 Ir 1.96, 1 Fe 2.06, 1 Sc 2.09
O5 0.3470 0.3262 0.3738  1 Ir 1.96, 1 Fe 2.06, 1 Sc 2.09
O6 0.9792 0.3262 0.1262  1 Ir 1.96, 1 Fe 2.06, 1 Sc 2.09
Sc1 0.3333 0.6667 0.2500  6 O 2.09
Fe1 0.0000 0.0000 0.0000  6 O 2.06
Sc2 0.6667 0.3333 0.7500  6 O 2.09
O7 0.3262 0.9792 0.6262  1 Ir 1.96, 1 Fe 2.06, 1 Sc 2.09
Fe2 0.0000 0.0000 0.5000  6 O 2.06
O8 0.6530 0.9792 0.8738  1 Ir 1.96, 1 Fe 2.06, 1 Sc 2.09
Ir1 0.3333 0.6667 0.7500  6 O 1.96
O9 0.3470 0.0208 0.1262  1 Ir 1.96, 1 Fe 2.06, 1 Sc 2.09
O10 0.0208 0.3470 0.6262  1 Ir 1.96, 1 Fe 2.06, 1 Sc 2.09
O11 0.3262 0.3470 0.8738  1 Ir 1.96, 1 Fe 2.06, 1 Sc 2.09
O12 0.6738 0.0208 0.3738  1 Ir 1.96, 1 Fe 2.06, 1 Sc 2.09
Ir2 0.6667 0.3333 0.2500  6 O 1.96

Summary:
- symmetry = P-31c

=====

Record 2
Crystalline Co2TeO3 at its relaxed geometry, computed with PBE+U.

abc: 5.8895 6.5880 7.2995
angles: 129.13 113.79 90.00
Closest atoms and distances in Å follow each position.
Fractional coordinates of all 12 atoms:
Te1 0.0425 0.2500 0.0000  3 O 2.02-2.20
O1 0.8184 0.4233 0.5573  3 Co 1.93-2.10
Te2 0.9575 0.7500 0.0000  3 O 2.02-2.20
Co1 0.8010 0.5735 0.3809  4 O 1.93-2.10
O2 0.3010 0.7500 0.0000  2 Co 1.95, 1 Te 2.02
Co2 0.1990 0.4265 0.6191  4 O 1.93-2.10
O3 0.7388 0.9233 0.5573  3 Co 1.93-2.10
Co3 0.4201 0.9265 0.6191  4 O 1.93-2.10
O4 0.2612 0.0767 0.4427  3 Co 1.93-2.10
Co4 0.5799 0.0735 0.3809  4 O 1.93-2.10
O5 0.6990 0.2500 0.0000  2 Co 1.95, 1 Te 2.02
O6 0.1816 0.5767 0.4427  3 Co 1.93-2.10

Summary:
- symmetry = C2/c

=====

The calculation returns the following DFT total energy values, one per record and in order: -129.274; -65.406 eV/cell.
The calculation returns the following ρ values, one per record and in order: 6.400; 5.194 g/cm³.